Sm2Dy6Ho3Pb | PBE | optimized geometry

Results
Uncorrected energy in eV/cell: -55.22
Fermi-level density of states in states/eV/cell: 14.017
Energy of formation in eV/atom: -0.061

Cell: 6.093 6.093 11.729 Å, 94.99 94.99 120.03°
Fractional coordinates of all 12 atoms:
Sm 0.334 0.666 0.000
Sm 0.666 0.334 0.000
Dy 0.917 0.590 0.750
Dy 0.755 0.755 0.252
Dy 0.083 0.410 0.250
Dy 0.590 0.917 0.750
Dy 0.245 0.245 0.748
Dy 0.410 0.083 0.250
Ho 0.168 0.832 0.500
Ho 0.832 0.168 0.500
Ho 0.500 0.500 0.500
Pb 0.000 0.000 0.000


HfScAu | PBE | optimized geometry

Results
Uncorrected energy in eV/cell: -41.12
Fermi-level density of states in states/eV/cell: 5.090
Excess energy over the best structure of this formula in the dataset in eV per atom: 0.145
Energy of formation in eV/atom: -0.333

Cell: 4.257 4.257 7.062 Å, 90.00 90.00 90.00°
Fractional coordinates of all 6 atoms:
Sc 0.000 0.000 0.500
Sc 0.500 0.500 0.500
Hf 0.000 0.500 0.139
Hf 0.500 0.000 0.861
Au 0.000 0.500 0.768
Au 0.500 0.000 0.232


Cu2ReAg | PBE | optimized geometry

Results
Uncorrected energy in eV/cell: -20.85
Fermi-level density of states in states/eV/cell: 4.641
Excess energy over the best structure of this formula in the dataset in eV per atom: 0.398
Energy of formation in eV/atom: 0.660

Cell: 4.311 4.311 4.311 Å, 60.00 60.00 60.00°
Last column: magnetic moment on the atom in μB.
Fractional coordinates of all 4 atoms:
Re 0.500 0.500 0.500  1.35
Cu 0.250 0.250 0.250  0.12
Cu 0.750 0.750 0.750  0.12
Ag 0.000 0.000 0.000  0.03


ZrTa2TiH | PBE | optimized geometry

Results
Uncorrected energy in eV/cell: -43.25
Fermi-level density of states in states/eV/cell: 6.869
Excess energy over the best structure of this formula in the dataset in eV per atom: 0.000

Cell: 4.044 4.044 4.832 Å, 90.00 90.00 90.00°
Last column: magnetic moment on the atom in μB.
Fractional coordinates of all 5 atoms:
H 0.000 0.000 0.000  0.00
Ti 0.000 0.000 0.500  0.29
Zr 0.500 0.500 0.500  0.13
Ta 0.000 0.500 0.000  0.02
Ta 0.500 0.000 0.000  0.02


BeAl2GeSe | PBE | optimized geometry

Results
Energy relative to the elements, uncorrected in meV/atom: 913
Uncorrected energy in eV/cell: -14.75
Fermi-level density of states in states/eV/cell: 1.320

Cell: 4.880 5.136 4.880 Å, 90.00 90.00 90.00°
Fractional coordinates of all 5 atoms:
Be 0.500 0.500 0.500
Ge 0.000 0.000 0.000
Al 0.000 0.000 0.500
Al 0.500 0.000 0.000
Se 0.000 0.500 0.000


BaB2Ir | PBE | optimized geometry

Results
Uncorrected energy in eV/cell: -50.27
Fermi-level density of states in states/eV/cell: 7.227
Excess energy over the best structure of this formula in the dataset in eV per atom: 0.000
Energy of formation in eV/atom: -0.249

Cell: 5.225 5.225 7.074 Å, 68.33 68.33 90.00°
Fractional coordinates of all 8 atoms:
B 0.875 0.125 0.250
B 0.875 0.625 0.250
B 0.375 0.125 0.750
B 0.875 0.125 0.750
Ir 0.000 0.000 0.000
Ir 0.750 0.250 0.500
Ba 0.500 0.500 0.000
Ba 0.250 0.750 0.500